5
Lattice="3.786 0.000 0.000 0.000 3.786 0.000 0.000 0.000 5.670" Properties=species:S:1:pos:R:3 comment="ZnTeRhN2 | the Alexandria database | GGA-PBEsol | relaxed" m_tot_mub_per_fu=0.0 dft_energy_ev_per_atom=-5.232 rho_g_cm3=6.6 space_group="P4/mmm (123)" pbc="T T T"
Zn 0.000 0.000 0.000
Te 1.893 1.893 0.000
Rh 1.893 1.893 2.835
N 0.000 1.893 2.835
N 1.893 0.000 2.835

5
Lattice="-1.665 1.665 6.538 1.665 -1.665 6.538 1.665 1.665 -6.538" Properties=species:S:1:pos:R:3 comment="Ti2Rh2N | the Alexandria database | GGA-PBEsol | relaxed" m_tot_mub_per_fu=0.0 dft_energy_ev_per_atom=-7.962 rho_g_cm3=7.2 space_group="I4/mmm (139)" pbc="T T T"
Ti 0.000 0.000 1.229
Ti 0.000 0.000 11.846
Rh 1.665 0.000 3.269
Rh 0.000 1.665 3.269
N 0.000 0.000 6.538

4
Lattice="1.559 0.900 6.393 -1.559 0.900 6.393 0.000 -1.800 6.393" Properties=species:S:1:pos:R:3 comment="TlRhN2 | the Alexandria database | GGA-PBEsol | relaxed" m_tot_mub_per_fu=0.0 rho_g_cm3=10.3 space_group="R-3m (166)" relative_energy_mev_per_atom=0 pbc="T T T"
Tl 0.000 0.000 0.000
Rh 0.000 0.000 9.589
N 0.000 0.000 2.248
N 0.000 0.000 16.930

4
Lattice="1.665 0.961 6.287 -1.665 0.961 6.287 0.000 -1.922 6.287" Properties=species:S:1:pos:R:3 comment="TlRhN2 | the Alexandria database | GGA-PBEsol | relaxed" m_tot_mub_per_fu=0.0 rho_g_cm3=9.2 space_group="R-3m (166)" relative_energy_mev_per_atom=467 pbc="T T T"
Tl 0.000 0.000 0.000
Rh 0.000 0.000 9.430
N 0.000 0.000 7.626
N 0.000 0.000 11.234

5
Lattice="4.062 0.000 0.000 0.000 4.062 0.000 0.000 0.000 4.062" Properties=species:S:1:pos:R:3 comment="RhW3N | the Alexandria database | GGA-PBEsol | relaxed" m_tot_mub_per_fu=0.0 dft_energy_ev_per_atom=-11.730 rho_g_cm3=16.6 space_group="Pm-3m (221)" pbc="T T T"
Rh 0.000 0.000 0.000
W 0.000 2.031 2.031
W 2.031 0.000 2.031
W 2.031 2.031 0.000
N 2.031 2.031 2.031

4
Lattice="0.000 2.753 2.753 2.753 0.000 2.753 2.753 2.753 0.000" Properties=species:S:1:pos:R:3 comment="ZrRhN2 | the Alexandria database | GGA-PBEsol | relaxed" m_tot_mub_per_fu=0.0 dft_energy_ev_per_atom=-8.803 rho_g_cm3=8.8 space_group="Fm-3m (225)" pbc="T T T"
Zr 0.000 0.000 0.000
Rh 2.753 2.753 2.753
N 1.376 1.376 1.376
N 4.129 4.129 4.129

5
Lattice="4.541 0.000 0.000 0.000 4.541 0.000 0.000 0.000 4.541" Properties=species:S:1:pos:R:3 comment="RuS3N | the Alexandria database | GGA-PBEsol | relaxed" m_tot_mub_per_fu=1.6 dft_energy_ev_per_atom=-4.914 rho_g_cm3=3.7 space_group="Pm-3m (221)" pbc="T T T"
Ru 0.000 0.000 0.000
S 0.000 0.000 2.271
S 0.000 2.271 0.000
S 2.271 0.000 0.000
N 2.271 2.271 2.271

5
Lattice="3.671 0.000 0.000 0.000 3.671 0.000 0.000 0.000 5.166" Properties=species:S:1:pos:R:3 comment="RuS2N2 | the Alexandria database | GGA-PBEsol | relaxed" m_tot_mub_per_fu=0.0 dft_energy_ev_per_atom=-6.344 rho_g_cm3=4.6 space_group="P4/mmm (123)" pbc="T T T"
Ru 0.000 0.000 0.000
S 0.000 0.000 2.583
S 1.835 1.835 2.583
N 0.000 1.835 0.000
N 1.835 0.000 0.000

5
Lattice="4.736 0.000 0.000 0.000 4.736 0.000 0.000 0.000 3.609" Properties=species:S:1:pos:R:3 comment="ScRuS2N | the Alexandria database | GGA-PBEsol | relaxed" m_tot_mub_per_fu=0.0 dft_energy_ev_per_atom=-7.204 rho_g_cm3=4.6 space_group="P4/mmm (123)" pbc="T T T"
Sc 0.000 0.000 0.000
Ru 2.368 2.368 1.804
S 0.000 2.368 1.804
S 2.368 0.000 1.804
N 2.368 2.368 0.000

5
Lattice="5.373 0.000 0.000 0.000 5.373 0.000 0.000 0.000 4.553" Properties=species:S:1:pos:R:3 comment="SrRuS2N | the Alexandria database | GGA-PBEsol | relaxed" m_tot_mub_per_fu=6.8 dft_energy_ev_per_atom=-4.117 rho_g_cm3=3.4 space_group="P4/mmm (123)" pbc="T T T"
Sr 0.000 0.000 0.000
Ru 2.686 2.686 2.277
S 0.000 2.686 0.000
S 2.686 0.000 0.000
N 0.000 0.000 2.277

5
Lattice="3.754 0.000 0.000 0.000 3.754 0.000 0.000 0.000 4.687" Properties=species:S:1:pos:R:3 comment="TaRuSN2 | the Alexandria database | GGA-PBEsol | relaxed" m_tot_mub_per_fu=1.3 dft_energy_ev_per_atom=-7.972 rho_g_cm3=8.6 space_group="P4/mmm (123)" pbc="T T T"
Ta 0.000 0.000 0.000
Ru 1.877 1.877 2.343
S 1.877 1.877 0.000
N 0.000 1.877 2.343
N 1.877 0.000 2.343

5
Lattice="3.706 0.000 0.000 0.000 3.706 0.000 0.000 0.000 5.027" Properties=species:S:1:pos:R:3 comment="TcRuSN2 | the Alexandria database | GGA-PBEsol | relaxed" m_tot_mub_per_fu=3.7 dft_energy_ev_per_atom=-7.509 rho_g_cm3=6.2 space_group="P4/mmm (123)" pbc="T T T"
Tc 0.000 0.000 0.000
Ru 1.853 1.853 2.514
S 1.853 1.853 0.000
N 0.000 1.853 2.514
N 1.853 0.000 2.514

5
Lattice="3.795 0.000 0.000 0.000 3.795 0.000 0.000 0.000 4.637" Properties=species:S:1:pos:R:3 comment="ZrRuSN2 | the Alexandria database | GGA-PBEsol | relaxed" m_tot_mub_per_fu=0.0 dft_energy_ev_per_atom=-8.030 rho_g_cm3=6.3 space_group="P4/mmm (123)" pbc="T T T"
Zr 0.000 0.000 0.000
Ru 1.898 1.898 2.319
S 1.898 1.898 0.000
N 0.000 1.898 2.319
N 1.898 0.000 2.319

5
Lattice="4.512 0.000 0.000 0.000 4.512 0.000 0.000 0.000 4.512" Properties=species:S:1:pos:R:3 comment="Sb3RuN | the Alexandria database | GGA-PBEsol | relaxed" m_tot_mub_per_fu=0.0 dft_energy_ev_per_atom=-5.723 rho_g_cm3=8.7 space_group="Pm-3m (221)" pbc="T T T"
Sb 0.000 0.000 2.256
Sb 0.000 2.256 0.000
Sb 2.256 0.000 0.000
Ru 2.256 2.256 2.256
N 0.000 0.000 0.000